# 1
The following is a PBE calculation of crystalline TbSm2Er9 at its relaxed geometry, from Alexandria.

Values from the calculation:
* ΔE to the lowest computed polymorph: 0.0 meV/atom
* ΔE_f: 23 meV per atom
* calculated density: 8.74 g/cm³

a = 4.9919 Å, b = 4.9919 Å, c = 14.9762 Å
α = 90.00°, β = 90.00°, γ = 90.00°
Last column: nearest neighbours and their distance in Å.
Fractional positions:
Tb  0.0000  0.0000  0.0000  12 Er 3.52-3.53
Sm  0.0000  0.0000  0.3330  12 Er 3.53-3.54
Sm  0.0000  0.0000  0.6670  12 Er 3.53-3.54
Er  0.0000  0.5000  0.1657  8 Er 3.52-3.53, 2 Tb 3.52, 2 Sm 3.54
Er  0.0000  0.5000  0.5000  8 Er 3.53-3.54, 4 Sm 3.53
Er  0.0000  0.5000  0.8343  8 Er 3.52-3.53, 2 Tb 3.52, 2 Sm 3.54
Er  0.5000  0.0000  0.1657  8 Er 3.52-3.53, 2 Tb 3.52, 2 Sm 3.54
Er  0.5000  0.0000  0.5000  8 Er 3.53-3.54, 4 Sm 3.53
Er  0.5000  0.0000  0.8343  8 Er 3.52-3.53, 2 Tb 3.52, 2 Sm 3.54
Er  0.5000  0.5000  0.0000  8 Er 3.52, 4 Tb 3.53
Er  0.5000  0.5000  0.3326  4 Sm 3.53, 8 Er 3.53-3.54
Er  0.5000  0.5000  0.6674  4 Sm 3.53, 8 Er 3.53-3.54

=====

# 2
The following is a PBE calculation of crystalline Tb2Sm2Er3 at its relaxed geometry, from Alexandria.

Values from the calculation:
* ΔE to the lowest computed polymorph: 0.0 meV/atom
* ΔE_f: 18 meV per atom
* calculated density: 8.37 g/cm³

a = 6.1481 Å, b = 6.1481 Å, c = 7.9575 Å
α = 97.48°, β = 97.48°, γ = 48.28°
Last column: nearest neighbours and their distance in Å.
Fractional positions:
Tb  0.2139  0.2139  0.1435  4 Sm 3.54-3.56, 6 Er 3.55-3.56, 2 Tb 3.57
Tb  0.7861  0.7861  0.8565  4 Sm 3.54-3.56, 6 Er 3.55-3.56, 2 Tb 3.57
Sm  0.0714  0.0714  0.7143  4 Tb 3.54-3.56, 7 Er 3.55-3.56, 1 Sm 3.56
Sm  0.9286  0.9286  0.2857  4 Tb 3.54-3.56, 7 Er 3.55-3.56, 1 Sm 3.56
Er  0.3568  0.3568  0.5716  5 Sm 3.55-3.56, 4 Er 3.55-3.56, 3 Tb 3.55
Er  0.5000  0.5000  0.0000  6 Tb 3.55-3.56, 2 Er 3.56, 4 Sm 3.56
Er  0.6432  0.6432  0.4284  5 Sm 3.55-3.56, 4 Er 3.55-3.56, 3 Tb 3.55

=====

# 3
The following is a PBE calculation of crystalline Tb2SmEr3 at its relaxed geometry, from Alexandria.

Values from the calculation:
* ΔE to the lowest computed polymorph: 320.9 meV/atom
* ΔE_f: 341 meV per atom
* calculated density: 7.89 g/cm³

a = 8.8830 Å, b = 8.8830 Å, c = 5.5694 Å
α = 90.00°, β = 90.00°, γ = 68.37°
Last column: nearest neighbours and their distance in Å.
Fractional positions:
Tb  0.0109  0.2087  0.2500  3 Er 3.18-3.49, 3 Tb 3.23-3.41, 2 Sm 3.51
Tb  0.2087  0.0109  0.7500  3 Er 3.18-3.49, 3 Tb 3.23-3.41, 2 Sm 3.51
Tb  0.7913  0.9891  0.2500  3 Er 3.18-3.49, 3 Tb 3.23-3.41, 2 Sm 3.51
Tb  0.9891  0.7913  0.7500  3 Er 3.18-3.49, 3 Tb 3.23-3.41, 2 Sm 3.51
Sm  0.2383  0.7617  0.2500  3 Er 3.26-3.52, 4 Tb 3.51
Sm  0.7617  0.2383  0.7500  3 Er 3.26-3.52, 4 Tb 3.51
Er  0.1351  0.3895  0.7500  2 Tb 3.18-3.32, 1 Er 3.51
Er  0.3895  0.1351  0.2500  2 Tb 3.18-3.32, 1 Er 3.51
Er  0.4090  0.5910  0.7500  3 Sm 3.26-3.52, 4 Er 3.33-3.51, 2 Tb 3.49
Er  0.5910  0.4090  0.2500  3 Sm 3.26-3.52, 4 Er 3.33-3.51, 2 Tb 3.49
Er  0.6105  0.8649  0.7500  2 Tb 3.18-3.32, 1 Er 3.51
Er  0.8649  0.6105  0.2500  2 Tb 3.18-3.32, 1 Er 3.51

=====

# 4
The following is a PBE calculation of crystalline Tb2Sm4Er at its relaxed geometry, from Alexandria.

Values from the calculation:
* ΔE to the lowest computed polymorph: 0.0 meV/atom
* ΔE_f: 128 meV per atom
* calculated density: 7.84 g/cm³

a = 6.1879 Å, b = 6.6219 Å, c = 11.5918 Å
α = 90.00°, β = 104.42°, γ = 90.00°
Last column: nearest neighbours and their distance in Å.
Fractional positions:
Tb  0.1071  0.2500  0.4940  6 Sm 3.38-3.69, 1 Er 3.44, 2 Tb 3.58
Tb  0.2126  0.2500  0.0769  9 Sm 3.40-3.66
Tb  0.7874  0.7500  0.9231  9 Sm 3.40-3.66
Tb  0.8929  0.7500  0.5060  6 Sm 3.38-3.69, 1 Er 3.44, 2 Tb 3.58
Sm  0.1496  0.0094  0.7857  4 Sm 3.19-3.47, 1 Er 3.46, 1 Tb 3.51
Sm  0.1496  0.4906  0.7857  4 Sm 3.19-3.47, 1 Er 3.46, 1 Tb 3.51
Sm  0.3491  0.7500  0.0505  1 Er 3.32, 4 Tb 3.40-3.45, 4 Sm 3.47-3.58
Sm  0.4622  0.7500  0.6365  3 Er 3.36-3.50, 2 Sm 3.37, 3 Tb 3.38-3.47
Sm  0.5378  0.2500  0.3635  3 Er 3.36-3.50, 2 Sm 3.37, 3 Tb 3.38-3.47
Sm  0.6509  0.2500  0.9495  1 Er 3.32, 4 Tb 3.40-3.45, 4 Sm 3.47-3.58
Sm  0.8504  0.5094  0.2143  4 Sm 3.19-3.47, 1 Er 3.46, 1 Tb 3.51
Sm  0.8504  0.9906  0.2143  4 Sm 3.19-3.47, 1 Er 3.46, 1 Tb 3.51
Er  0.3509  0.7500  0.3372  6 Sm 3.32-3.50, 1 Tb 3.44
Er  0.6491  0.2500  0.6628  6 Sm 3.32-3.50, 1 Tb 3.44

=====

# 5
The following is a PBE calculation of crystalline Tb3Sm5Er3 at its relaxed geometry, from Alexandria.

Values from the calculation:
* ΔE to the lowest computed polymorph: 465.8 meV/atom
* ΔE_f: 797 meV per atom
* calculated density: 6.38 g/cm³

a = 9.7196 Å, b = 9.7196 Å, c = 5.5070 Å
α = 90.00°, β = 90.00°, γ = 120.00°
Last column: nearest neighbours and their distance in Å.
Fractional positions:
Tb  0.0000  0.4511  0.0000  2 Er 3.27, 2 Sm 3.28
Tb  0.4511  0.0000  0.0000  2 Er 3.27, 2 Sm 3.28
Tb  0.5489  0.5489  0.0000  2 Er 3.27, 2 Sm 3.28
Sm  0.0000  0.2683  0.5000  3 Er 3.20-3.54, 2 Tb 3.28
Sm  0.2683  0.0000  0.5000  3 Er 3.20-3.54, 2 Tb 3.28
Sm  0.3333  0.6667  0.5000  3 Er 3.09
Sm  0.6667  0.3333  0.5000  3 Er 3.09
Sm  0.7317  0.7317  0.5000  3 Er 3.20-3.54, 2 Tb 3.28
Er  0.0000  0.6323  0.5000  4 Sm 3.09-3.20, 2 Tb 3.27
Er  0.3677  0.3677  0.5000  4 Sm 3.09-3.20, 2 Tb 3.27
Er  0.6323  0.0000  0.5000  4 Sm 3.09-3.20, 2 Tb 3.27

=====

# 6
The following is a PBE calculation of crystalline Tb7Sm4Er at its relaxed geometry, from Alexandria.

Values from the calculation:
* ΔE_f: 87 meV per atom
* calculated density: 7.95 g/cm³

a = 6.5326 Å, b = 6.8252 Å, c = 9.1221 Å
α = 85.86°, β = 77.17°, γ = 82.40°
Last column: nearest neighbours and their distance in Å.
Fractional positions:
Tb  0.0000  0.0000  0.0000  4 Sm 3.38-3.66, 2 Er 3.41, 4 Tb 3.53-3.74
Tb  0.1909  0.6056  0.3859  5 Tb 3.29-3.61, 5 Sm 3.33-3.67
Tb  0.3154  0.1982  0.6396  5 Tb 3.40-3.74, 4 Sm 3.47-3.57
Tb  0.4880  0.7471  0.0523  5 Tb 3.38-3.55, 4 Sm 3.39-3.70, 1 Er 3.49
Tb  0.5120  0.2529  0.9477  5 Tb 3.38-3.55, 4 Sm 3.39-3.70, 1 Er 3.49
Tb  0.6846  0.8018  0.3604  5 Tb 3.40-3.74, 4 Sm 3.47-3.57
Tb  0.8091  0.3944  0.6141  5 Tb 3.29-3.61, 5 Sm 3.33-3.67
Sm  0.1591  0.1160  0.3075  7 Tb 3.38-3.70, 2 Sm 3.52
Sm  0.3599  0.6911  0.7183  8 Tb 3.33-3.68, 1 Er 3.39, 2 Sm 3.52
Sm  0.6401  0.3089  0.2817  8 Tb 3.33-3.68, 1 Er 3.39, 2 Sm 3.52
Sm  0.8409  0.8840  0.6925  7 Tb 3.38-3.70, 2 Sm 3.52
Er  0.0000  0.5000  0.0000  2 Sm 3.39, 4 Tb 3.41-3.49

=====

# 7
The following is a PBE calculation of crystalline Tb8Sm3Er2 at its relaxed geometry, from Alexandria.

Values from the calculation:
* ΔE to the lowest computed polymorph: 0.0 meV/atom
* ΔE_f: 18 meV per atom
* calculated density: 8.19 g/cm³

a = 10.6908 Å, b = 10.6908 Å, c = 7.9838 Å
α = 94.22°, β = 94.22°, γ = 27.28°
Last column: nearest neighbours and their distance in Å.
Fractional positions:
Tb  0.0782  0.0782  0.1151  1 Er 3.55, 6 Tb 3.55-3.61, 5 Sm 3.57-3.59
Tb  0.1552  0.1552  0.7299  6 Tb 3.54-3.57, 3 Er 3.54-3.55, 3 Sm 3.58-3.59
Tb  0.3071  0.3071  0.9616  8 Tb 3.54-3.57, 3 Er 3.56-3.57, 1 Sm 3.57
Tb  0.3831  0.3831  0.5777  3 Er 3.54, 5 Tb 3.55-3.57, 4 Sm 3.58-3.60
Tb  0.6169  0.6169  0.4223  3 Er 3.54, 5 Tb 3.55-3.57, 4 Sm 3.58-3.60
Tb  0.6929  0.6929  0.0384  8 Tb 3.54-3.57, 3 Er 3.56-3.57, 1 Sm 3.57
Tb  0.8448  0.8448  0.2701  6 Tb 3.54-3.57, 3 Er 3.54-3.55, 3 Sm 3.58-3.59
Tb  0.9218  0.9218  0.8849  1 Er 3.55, 6 Tb 3.55-3.61, 5 Sm 3.57-3.59
Sm  0.0000  0.0000  0.5000  4 Sm 3.57, 8 Tb 3.58-3.59
Sm  0.4612  0.4612  0.1927  3 Sm 3.57-3.58, 9 Tb 3.57-3.60
Sm  0.5388  0.5388  0.8073  3 Sm 3.57-3.58, 9 Tb 3.57-3.60
Er  0.2310  0.2310  0.3465  10 Tb 3.54-3.57, 2 Er 3.56
Er  0.7690  0.7690  0.6535  10 Tb 3.54-3.57, 2 Er 3.56

=====

# 8
The following is a PBE calculation of crystalline Tb5Sm8Er at its relaxed geometry, from Alexandria.

Values from the calculation:
* ΔE_f: 254 meV per atom
* calculated density: 7.55 g/cm³

a = 8.5239 Å, b = 8.5239 Å, c = 8.5239 Å
α = 110.98°, β = 110.98°, γ = 106.50°
Last column: nearest neighbours and their distance in Å.
Fractional positions:
Tb  0.0000  0.0000  0.0000  8 Sm 3.16-3.36
Tb  0.3176  0.2179  0.6846  8 Sm 3.37-3.60, 2 Tb 3.54
Tb  0.3670  0.6824  0.9003  8 Sm 3.37-3.60, 2 Tb 3.54
Tb  0.5334  0.6330  0.3154  8 Sm 3.37-3.60, 2 Tb 3.54
Tb  0.7821  0.4666  0.0997  8 Sm 3.37-3.60, 2 Tb 3.54
Sm  0.0259  0.7695  0.6047  5 Tb 3.36-3.58, 3 Sm 3.62-3.69
Sm  0.0684  0.3333  0.9090  4 Tb 3.16-3.51, 1 Er 3.22
Sm  0.1648  0.4212  0.3953  5 Tb 3.36-3.58, 3 Sm 3.62-3.69
Sm  0.2305  0.8352  0.2564  5 Tb 3.36-3.58, 3 Sm 3.62-3.69
Sm  0.4243  0.1594  0.0910  4 Tb 3.16-3.51, 1 Er 3.22
Sm  0.5788  0.9741  0.7436  5 Tb 3.36-3.58, 3 Sm 3.62-3.69
Sm  0.6667  0.5757  0.7351  4 Tb 3.16-3.51, 1 Er 3.22
Sm  0.8406  0.9316  0.2649  4 Tb 3.16-3.51, 1 Er 3.22
Er  0.7500  0.2500  0.5000  4 Sm 3.22

=====

# 9
The following is a PBE calculation of crystalline TbSm3Er3 at its relaxed geometry, from Alexandria.

Values from the calculation:
* ΔE to the lowest computed polymorph: 0.0 meV/atom
* ΔE_f: 16 meV per atom
* calculated density: 8.14 g/cm³

a = 9.5841 Å, b = 9.5841 Å, c = 5.7027 Å
α = 90.00°, β = 90.00°, γ = 120.00°
Last column: nearest neighbours and their distance in Å.
Fractional positions:
Tb  0.3333  0.6667  0.2500  9 Er 3.54-3.62, 3 Sm 3.60
Tb  0.6667  0.3333  0.7500  9 Er 3.54-3.62, 3 Sm 3.60
Sm  0.0489  0.2415  0.2500  5 Er 3.53-3.65, 6 Sm 3.55-3.67, 1 Tb 3.60
Sm  0.1926  0.9511  0.2500  5 Er 3.53-3.65, 6 Sm 3.55-3.67, 1 Tb 3.60
Sm  0.2415  0.1926  0.7500  5 Er 3.53-3.65, 6 Sm 3.55-3.67, 1 Tb 3.60
Sm  0.7585  0.8074  0.2500  5 Er 3.53-3.65, 6 Sm 3.55-3.67, 1 Tb 3.60
Sm  0.8074  0.0489  0.7500  5 Er 3.53-3.65, 6 Sm 3.55-3.67, 1 Tb 3.60
Sm  0.9511  0.7585  0.7500  5 Er 3.53-3.65, 6 Sm 3.55-3.67, 1 Tb 3.60
Er  0.0948  0.4777  0.7500  4 Er 3.52-3.62, 5 Sm 3.53-3.65, 3 Tb 3.54-3.62
Er  0.3830  0.9052  0.7500  4 Er 3.52-3.62, 5 Sm 3.53-3.65, 3 Tb 3.54-3.62
Er  0.4777  0.3830  0.2500  4 Er 3.52-3.62, 5 Sm 3.53-3.65, 3 Tb 3.54-3.62
Er  0.5223  0.6170  0.7500  4 Er 3.52-3.62, 5 Sm 3.53-3.65, 3 Tb 3.54-3.62
Er  0.6170  0.0948  0.2500  4 Er 3.52-3.62, 5 Sm 3.53-3.65, 3 Tb 3.54-3.62
Er  0.9052  0.5223  0.2500  4 Er 3.52-3.62, 5 Sm 3.53-3.65, 3 Tb 3.54-3.62

=====

# 10
The following is a PBE calculation of crystalline Tb4SmEr at its relaxed geometry, from Alexandria.

Values from the calculation:
* ΔE to the lowest computed polymorph: 238.9 meV/atom
* ΔE_f: 253 meV per atom
* calculated density: 8.04 g/cm³

a = 6.8698 Å, b = 6.8698 Å, c = 9.7687 Å
α = 90.00°, β = 90.00°, γ = 121.38°
Last column: nearest neighbours and their distance in Å.
Fractional positions:
Tb  0.1375  0.3437  0.7500  1 Sm 3.10, 1 Tb 3.24, 2 Er 3.25
Tb  0.1547  0.8453  0.5698  7 Tb 3.52-3.91, 3 Sm 3.72-3.80, 2 Er 3.90
Tb  0.1547  0.8453  0.9302  7 Tb 3.52-3.91, 3 Sm 3.72-3.80, 2 Er 3.90
Tb  0.3437  0.1375  0.2500  1 Sm 3.10, 1 Tb 3.24, 2 Er 3.25
Tb  0.6563  0.8625  0.7500  1 Sm 3.10, 1 Tb 3.24, 2 Er 3.25
Tb  0.8453  0.1547  0.0698  7 Tb 3.52-3.91, 3 Sm 3.72-3.80, 2 Er 3.90
Tb  0.8453  0.1547  0.4302  7 Tb 3.52-3.91, 3 Sm 3.72-3.80, 2 Er 3.90
Tb  0.8625  0.6563  0.2500  1 Sm 3.10, 1 Tb 3.24, 2 Er 3.25
Sm  0.3236  0.6764  0.2500  2 Tb 3.10, 2 Er 3.23
Sm  0.6764  0.3236  0.7500  2 Tb 3.10, 2 Er 3.23
Er  0.5000  0.5000  0.0000  2 Sm 3.23, 4 Tb 3.25
Er  0.5000  0.5000  0.5000  2 Sm 3.23, 4 Tb 3.25